No. 1
# CsLuFeS3

A relaxed CsLuFeS3 crystal (PBE, OQMD via LeMat-Bulk).

Cell lengths 15.5825, 3.9410, 10.5077 Å; angles 90.00, 90.00, 90.00 degrees
Last column: nearest neighbours and their distance in Å.
Space group Pnma (No. 62)
One atom of each set of equivalent atoms:
1 Cs 0.2371 0.2500 0.0281 x4  7 S 3.40-3.78
2 Lu 0.0143 0.2500 0.3467 x4  6 S 2.63-2.77
3 Fe 0.0110 0.7500 0.0880 x4  4 S 2.29-2.38
4 S 0.0723 0.7500 0.8835 x4  3 Fe 2.35-2.38
5 S 0.0876 0.2500 0.5720 x4  3 Lu 2.63-2.67
6 S 0.1133 0.7500 0.2448 x4  1 Fe 2.29

Calculated values
* raw total energy: -136.6 eV per cell
* ΔE to the lowest computed polymorph: 3 meV/atom
* total magnetic moment: 16.00 Bohr magnetons per cell

=====

No. 2
# B2Ir2Au

A relaxed B2Ir2Au crystal (PBE, OQMD via LeMat-Bulk).

Cell lengths 2.9698, 2.9698, 13.9732 Å; angles 90.00, 90.00, 90.00 degrees
Last column: nearest neighbours and their distance in Å.
Space group I4/mmm (No. 139)
One atom of each set of equivalent atoms:
1 B 0.0000 0.5000 0.2500 x4  4 B 2.10, 4 Ir 2.13
2 Ir 0.0000 0.0000 0.1411 x4  4 B 2.13
3 Au 0.0000 0.0000 0.5000 x2  8 Ir 2.88, 4 Au 2.97

Calculated values
* raw total energy: -69.9 eV per cell
* total magnetic moment: 0.00 Bohr magnetons per cell

=====

No. 3
# Pr2Nd2CI3Br2

A relaxed Pr2Nd2CI3Br2 crystal (PBE, OQMD via LeMat-Bulk).

Cell lengths 18.7568, 4.0781, 8.9311 Å; angles 90.00, 102.64, 90.00 degrees
Last column: nearest neighbours and their distance in Å.
Space group C2/m (No. 12)
One atom of each set of equivalent atoms:
1 Pr 0.0022 0.0000 0.3049 x4  2 C 2.69
2 Nd 0.1378 0.5000 0.5653 x4  1 C 2.52
3 C 0.0000 0.5000 0.5000 x2  2 Nd 2.52, 4 Pr 2.69
4 I 0.0000 0.5000 0.0000 x2  4 Pr 3.39
5 I 0.1698 0.0000 0.8402 x4  2 Nd 3.15, 1 Pr 3.20
6 Br 0.1701 0.0000 0.3408 x4  2 Nd 3.01, 1 Pr 3.09

Calculated values
* raw total energy: -97.5 eV per cell
* ΔE to the lowest computed polymorph: 6 meV/atom
* total magnetic moment: 0.73 Bohr magnetons per cell

=====

Question: Which of these has the lowest total magnetic moment?
Answer: B2Ir2Au